Compound: La2CePrN4
Source: Alexandria via LeMat-Bulk
Functional: GGA-PBE
Structure: optimized geometry

Cell: 6.360 3.682 6.384 Å, 90.00 109.29 90.00°
Space group P2/m (No. 10)
Asymmetric unit:
1 La 0.000 0.000 0.000 [1 per cell]
2 La 0.500 0.500 0.000 [1 per cell]
3 Ce 0.000 0.500 0.500 [1 per cell]
4 Pr 0.500 0.000 0.500 [1 per cell]
5 N 0.235 0.000 0.734 [2 per cell]
6 N 0.241 0.500 0.261 [2 per cell]

- Crystal system: monoclinic
- Formation energy (no corrections): -1.368 eV per atom


Compound: SrHf2GeN
Source: Alexandria via LeMat-Bulk
Functional: GGA-PBE
Structure: optimized geometry

Cell: 4.948 4.948 5.846 Å, 90.00 90.00 90.00°
Space group P4/mmm (No. 123)
Asymmetric unit:
1 Sr 0.000 0.000 0.000 [1 per cell]
2 Hf 0.000 0.500 0.500 [2 per cell]
3 Ge 0.000 0.000 0.500 [1 per cell]
4 N 0.500 0.500 0.000 [1 per cell]

- Crystal system: tetragonal
- Formation energy (no corrections): 1.339 eV per atom


Compound: LiSnRh2F
Source: Alexandria via LeMat-Bulk
Functional: GGA-PBE
Structure: optimized geometry

Cell: 4.328 4.328 4.596 Å, 90.00 90.00 90.00°
Space group P4/mmm (No. 123)
Asymmetric unit:
1 Li 0.000 0.000 0.000 [1 per cell]
2 Sn 0.500 0.500 0.000 [1 per cell]
3 Rh 0.000 0.500 0.500 [2 per cell]
4 F 0.500 0.500 0.500 [1 per cell]

- Crystal system: tetragonal
- Formation energy (no corrections): 0.109 eV per atom


Compound: CrAg2W
Source: Alexandria via LeMat-Bulk
Functional: GGA-PBE
Structure: optimized geometry

Cell: 2.8408 2.8408 28.2800 Å, 90.00 90.00 120.00°
Space group R3m (No. 160, hexagonal axes)
Asymmetric unit:
1 Cr 0.0000 0.0000 0.0000 [3 per cell]
2 Ag 0.0000 0.0000 0.2504 [3 per cell]
3 Ag 0.0000 0.0000 0.4956 [3 per cell]
4 W 0.0000 0.0000 0.7408 [3 per cell]

- Energy of formation from the pure elements: 479 meV/atom
- Crystal system: trigonal


Compound: NaBiPb
Source: Alexandria via LeMat-Bulk
Functional: GGA-PBE
Structure: optimized geometry

Cell: 4.258 4.258 10.380 Å, 90.00 90.00 90.00°
Space group I4mm (No. 107)
Asymmetric unit:
1 Na 0.000 0.000 0.000 [2 per cell]
2 Bi 0.000 0.000 0.321 [2 per cell]
3 Pb 0.000 0.000 0.684 [2 per cell]

- Energy of formation from the pure elements: -136 meV/atom
- Crystal system: tetragonal


Compound: Ac4In2Rh
Source: Alexandria via LeMat-Bulk
Functional: GGA-PBE
Structure: optimized geometry

Cell: 18.522 4.226 7.004 Å, 90.00 111.44 90.00°
Space group C2/m (No. 12)
Asymmetric unit:
1 Ac 0.088 0.000 0.429 [4 per cell]
2 Ac 0.118 0.500 0.973 [4 per cell]
3 In 0.241 0.500 0.662 [4 per cell]
4 Rh 0.000 0.000 0.000 [2 per cell]

- Energy of formation from the pure elements: -382 meV/atom
- Crystal system: monoclinic


Number 1 is which compound?
La2CePrN4